No. 1
The following is a PBE calculation of a geometry-optimized CsK2U2S7 structure, from Alexandria via LeMat-Bulk.

## Properties
- Crystal system: tetragonal
- Space-group type: I4/mmm
- Formation energy (no corrections): -30.2 kcal/mol of atoms

abc: 5.225 5.225 13.717
angles: 79.00 79.00 90.00
Element x y z (fractional)
K 0.815 0.815 0.370
S 0.693 0.693 0.615
S 0.901 0.401 0.198
U 0.400 0.400 0.200
S 0.500 0.500 0.000
K 0.185 0.185 0.630
S 0.307 0.307 0.385
S 0.599 0.099 0.802
S 0.401 0.901 0.198
S 0.099 0.599 0.802
U 0.600 0.600 0.800
Cs 0.000 0.000 0.000



No. 2
The following is a PBE calculation of a geometry-optimized Cs3K2US6 structure, from Alexandria via LeMat-Bulk.

## Properties
- Crystal system: monoclinic
- Space-group type: C2/m
- Formation energy (no corrections): -27.4 kcal/mol of atoms

abc: 7.864 7.864 8.193
angles: 99.22 99.22 119.58
Element x y z (fractional)
Cs 0.178 0.822 0.500
S 0.668 0.937 0.811
U 0.000 0.000 0.000
Cs 0.500 0.500 0.500
Cs 0.822 0.178 0.500
K 0.665 0.335 0.000
S 0.800 0.800 0.194
S 0.332 0.063 0.189
S 0.063 0.332 0.189
S 0.937 0.668 0.811
K 0.335 0.665 0.000
S 0.200 0.200 0.806



No. 3
The following is a PBE calculation of a geometry-optimized Cs4KU3S12 structure, from Alexandria via LeMat-Bulk.

## Properties
- Crystal system: cubic
- Space-group type: Im-3m
- Formation energy (no corrections): -27.8 kcal/mol of atoms

abc: 9.286 9.286 9.286
angles: 109.47 109.47 109.47
Element x y z (fractional)
U 0.500 0.500 0.000
S 0.724 0.000 0.724
S 0.500 0.250 0.750
Cs 0.500 0.500 0.500
Cs 0.000 0.500 0.000
Cs 0.000 0.000 0.500
U 0.000 0.500 0.500
S 0.750 0.500 0.250
Cs 0.500 0.000 0.000
S 0.276 0.276 0.000
S 0.276 0.000 0.276
S 0.250 0.500 0.750
S 0.000 0.724 0.724
S 0.250 0.750 0.500
S 0.724 0.724 0.000
U 0.500 0.000 0.500
S 0.500 0.750 0.250
S 0.000 0.276 0.276
K 0.000 0.000 0.000
S 0.750 0.250 0.500



No. 4
The following is a PBE calculation of a geometry-optimized Cs2KUS4 structure, from Alexandria via LeMat-Bulk.

## Properties
- Crystal system: monoclinic
- Space-group type: P2/m
- Formation energy (no corrections): -30.2 kcal/mol of atoms

abc: 4.245 8.353 7.809
angles: 71.96 90.00 90.00
Element x y z (fractional)
Cs 0.500 0.000 0.500
Cs 0.000 0.000 0.000
S 0.000 0.318 0.294
S 0.000 0.682 0.706
K 0.500 0.500 0.000
S 0.500 0.319 0.690
S 0.500 0.681 0.310
U 0.000 0.500 0.500



No. 5
The following is a PBE calculation of a geometry-optimized Cs3KU2S9 structure, from Alexandria via LeMat-Bulk.

## Properties
- Crystal system: trigonal
- Space-group type: P-3m1
- Formation energy (no corrections): -25.5 kcal/mol of atoms

abc: 7.645 7.645 9.703
angles: 90.00 90.00 120.00
Element x y z (fractional)
S 0.182 0.363 0.297
S 0.500 0.000 0.000
K 0.000 0.000 0.500
S 0.500 0.500 0.000
S 0.182 0.818 0.297
Cs 0.333 0.667 0.657
S 0.637 0.818 0.297
S 0.818 0.637 0.703
S 0.363 0.182 0.703
S 0.000 0.500 0.000
Cs 0.667 0.333 0.343
U 0.667 0.333 0.850
U 0.333 0.667 0.150
S 0.818 0.182 0.703
Cs 0.000 0.000 0.000



No. 6
The following is a PBE calculation of a geometry-optimized CsKVS3 structure, from Alexandria via LeMat-Bulk.

## Properties
- Crystal system: monoclinic
- Space-group type: C2/m
- Formation energy (no corrections): -24.0 kcal/mol of atoms

abc: 3.958 7.681 14.221
angles: 114.61 90.00 104.93
Element x y z (fractional)
K 0.366 0.733 0.491
S 0.074 0.147 0.907
V 0.021 0.042 0.743
S 0.859 0.718 0.658
Cs 0.666 0.332 0.138
K 0.634 0.267 0.509
S 0.141 0.282 0.342
S 0.580 0.161 0.699
Cs 0.334 0.668 0.862
V 0.979 0.958 0.257
S 0.926 0.853 0.093
S 0.420 0.839 0.301



No. 7
The following is a PBE calculation of a geometry-optimized CsK2VS4 structure, from Alexandria via LeMat-Bulk.

## Properties
- Crystal system: orthorhombic
- Space-group type: Fmm2
- Formation energy (no corrections): -26.4 kcal/mol of atoms

abc: 7.773 7.773 6.582
angles: 119.17 119.17 100.06
Element x y z (fractional)
S 0.765 0.452 0.216
K 0.843 0.343 0.686
K 0.343 0.843 0.686
S 0.150 0.150 0.646
S 0.496 0.496 0.646
V 0.474 0.474 0.947
Cs 0.978 0.978 0.957
S 0.452 0.765 0.216



No. 8
The following is a PBE calculation of a geometry-optimized CsK2V2S7 structure, from Alexandria via LeMat-Bulk.

## Properties
- Crystal system: trigonal
- Space-group type: R32
- Formation energy (no corrections): -19.3 kcal/mol of atoms

abc: 6.604 6.604 11.994
angles: 74.02 74.02 60.00
Element x y z (fractional)
S 0.094 0.777 0.744
S 0.000 0.000 0.000
S 0.906 0.615 0.256
K 0.312 0.312 0.065
S 0.777 0.385 0.744
V 0.935 0.935 0.196
K 0.688 0.688 0.935
V 0.065 0.065 0.804
Cs 0.500 0.500 0.500
S 0.385 0.094 0.744
S 0.223 0.906 0.256
S 0.615 0.223 0.256



No. 9
The following is a PBE calculation of a geometry-optimized CsKZnS2 structure, from Alexandria via LeMat-Bulk.

## Properties
- Crystal system: orthorhombic
- Space-group type: Pmma
- Formation energy (no corrections): -17.1 kcal/mol of atoms

abc: 6.609 5.744 7.982
angles: 90.00 90.00 90.00
Element x y z (fractional)
K 0.423 0.250 0.000
Zn 0.000 0.500 0.000
S 0.824 0.250 0.791
S 0.176 0.750 0.209
S 0.824 0.250 0.209
S 0.176 0.750 0.791
Cs 0.776 0.750 0.500
Cs 0.224 0.250 0.500
Zn 0.000 0.000 0.000
K 0.577 0.750 0.000



No. 10
The following is a PBE calculation of a geometry-optimized CsK2Zr3S8 structure, from Alexandria via LeMat-Bulk.

## Properties
- Crystal system: trigonal
- Space-group type: R3m
- Formation energy (no corrections): -30.5 kcal/mol of atoms

abc: 7.699 7.699 9.211
angles: 65.30 65.30 60.00
Element x y z (fractional)
K 0.137 0.137 0.588
S 0.724 0.724 0.829
S 0.760 0.760 0.174
Zr 0.499 0.001 0.001
Zr 0.499 0.499 0.001
S 0.241 0.698 0.821
S 0.272 0.272 0.185
S 0.241 0.241 0.821
Cs 0.855 0.855 0.434
S 0.306 0.760 0.174
S 0.760 0.306 0.174
K 0.500 0.500 0.499
S 0.698 0.241 0.821
Zr 0.001 0.499 0.001



No. 11
The following is a PBE calculation of a geometry-optimized Cs3KSb structure, from Alexandria via LeMat-Bulk.

## Properties
- Crystal system: cubic
- Space-group type: Pm-3m
- Formation energy (no corrections): 9.6 kcal/mol of atoms

abc: 7.533 7.533 7.533
angles: 90.00 90.00 90.00
Element x y z (fractional)
Cs 0.500 0.000 0.000
Sb 0.500 0.500 0.500
Cs 0.000 0.500 0.000
K 0.000 0.000 0.000
Cs 0.000 0.000 0.500



No. 12
The following is a PBE calculation of a geometry-optimized Cs4KSb4 structure, from Alexandria via LeMat-Bulk.

## Properties
- Crystal system: tetragonal
- Space-group type: P4_2/n
- Formation energy (no corrections): -7.4 kcal/mol of atoms

abc: 7.771 11.405 11.405
angles: 90.00 90.00 90.00
Element x y z (fractional)
Cs 0.342 0.695 0.082
Cs 0.842 0.582 0.805
Cs 0.158 0.195 0.582
Cs 0.658 0.918 0.695
Cs 0.158 0.805 0.418
Sb 0.169 0.143 0.247
Sb 0.669 0.747 0.357
Sb 0.831 0.247 0.857
K 0.500 0.500 0.500
Sb 0.669 0.253 0.643
Sb 0.169 0.857 0.753
Cs 0.342 0.305 0.918
Sb 0.331 0.643 0.747
K 0.000 0.000 0.000
Sb 0.331 0.357 0.253
Cs 0.842 0.418 0.195
Cs 0.658 0.082 0.305
Sb 0.831 0.753 0.143



Question: formation energy (no corrections) of number 8 (CsK2V2S7)?
Answer: -19.3 kcal/mol of atoms



What did the twelfth record say?
The following is a PBE calculation of a geometry-optimized Cs4KSb4 structure, from Alexandria via LeMat-Bulk.

## Properties
- Crystal system: tetragonal
- Space-group type: P4_2/n
- Formation energy (no corrections): -7.4 kcal/mol of atoms

abc: 7.771 11.405 11.405
angles: 90.00 90.00 90.00
Element x y z (fractional)
Cs 0.342 0.695 0.082
Cs 0.842 0.582 0.805
Cs 0.158 0.195 0.582
Cs 0.658 0.918 0.695
Cs 0.158 0.805 0.418
Sb 0.169 0.143 0.247
Sb 0.669 0.747 0.357
Sb 0.831 0.247 0.857
K 0.500 0.500 0.500
Sb 0.669 0.253 0.643
Sb 0.169 0.857 0.753
Cs 0.342 0.305 0.918
Sb 0.331 0.643 0.747
K 0.000 0.000 0.000
Sb 0.331 0.357 0.253
Cs 0.842 0.418 0.195
Cs 0.658 0.082 0.305
Sb 0.831 0.753 0.143